Below is an optimized crystal structure of Tm5Ag4Pd, with properties calculated at the PBE level.

a = 3.539 Å, b = 3.539 Å, c = 18.058 Å
α = 90.00°, β = 90.00°, γ = 90.00°
Element x y z (fractional)
Tm1 0.000 0.000 0.000
Tm2 0.000 0.000 0.204
Tm3 0.000 0.000 0.407
Tm4 0.000 0.000 0.593
Tm5 0.000 0.000 0.796
Ag1 0.500 0.500 0.102
Ag2 0.500 0.500 0.304
Ag3 0.500 0.500 0.696
Ag4 0.500 0.500 0.898
Pd1 0.500 0.500 0.500

calculated total energy = -43.6 eV per cell
magnetization = 0.0 Bohr magnetons per cell